# PBE TlAgAs2O6, optimized geometry
data_TlAgAs2O6
_chemical_formula_sum 'Tl4 Ag4 As8 O24'
_space_group_name_H-M_alt 'C 1 2/c 1'
_space_group_IT_number 15
_cell_length_a 11.442
_cell_length_b 12.336
_cell_length_c 5.067
_cell_angle_alpha 90.00
_cell_angle_beta 97.28
_cell_angle_gamma 90.00
loop_
_space_group_symop_operation_xyz
'x,y,z'
'-x,-y,-z'
'-x,y,-z+1/2'
'x,-y,z+1/2'
'x+1/2,y+1/2,z'
'-x+1/2,-y+1/2,-z'
'-x+1/2,y+1/2,-z+1/2'
'x+1/2,-y+1/2,z+1/2'
loop_
_atom_site_label
_atom_site_type_symbol
_atom_site_fract_x
_atom_site_fract_y
_atom_site_fract_z
_atom_site_occupancy
Tl1 Tl 0.000 0.120 0.250 1
Ag1 Ag 0.000 0.313 0.750 1
As1 As 0.216 0.420 0.203 1
O1 O 0.129 0.313 0.105 1
O2 O 0.137 0.090 0.765 1
O3 O 0.165 0.460 0.513 1
# Raw total energy, eV/atom: -5.38
# V, Å³/atom: 17.73
# Formation energy (no corrections), kJ per mole of atoms: -92.4

***

# PBE TlAgAsO4, optimized geometry
data_TlAgAsO4
_chemical_formula_sum 'Tl2 Ag2 As2 O8'
_space_group_name_H-M_alt 'I -4'
_space_group_IT_number 82
_cell_length_a 6.128
_cell_length_b 6.128
_cell_length_c 6.696
_cell_angle_alpha 90.00
_cell_angle_beta 90.00
_cell_angle_gamma 90.00
loop_
_space_group_symop_operation_xyz
'x,y,z'
'y,-x,-z'
'-x,-y,z'
'-y,x,-z'
'x+1/2,y+1/2,z+1/2'
'y+1/2,-x+1/2,-z+1/2'
'-x+1/2,-y+1/2,z+1/2'
'-y+1/2,x+1/2,-z+1/2'
loop_
_atom_site_label
_atom_site_type_symbol
_atom_site_fract_x
_atom_site_fract_y
_atom_site_fract_z
_atom_site_occupancy
Tl1 Tl 0.000 0.000 0.000 1
Ag1 Ag 0.000 0.000 0.500 1
As1 As 0.000 0.500 0.250 1
O1 O 0.162 0.674 0.391 1
# Raw total energy, eV/atom: -5.05
# V, Å³/atom: 17.96
# Formation energy (no corrections), kJ per mole of atoms: -77.5

***

# PBE TmAgAs2O8, optimized geometry
data_TmAgAs2O8
_chemical_formula_sum 'Tm2 Ag2 As4 O16'
_space_group_name_H-M_alt 'I -4 m 2'
_space_group_IT_number 119
_space_group_name_Hall 'I -4 -2'
_cell_length_a 7.052
_cell_length_b 7.052
_cell_length_c 6.444
_cell_angle_alpha 90.00
_cell_angle_beta 90.00
_cell_angle_gamma 90.00
loop_
_atom_site_label
_atom_site_type_symbol
_atom_site_fract_x
_atom_site_fract_y
_atom_site_fract_z
_atom_site_occupancy
Tm1 Tm 0.000 0.000 0.000 1
Ag1 Ag 0.000 0.500 0.250 1
As1 As 0.000 0.000 0.500 1
As2 As 0.000 0.500 0.750 1
O1 O 0.000 0.178 0.314 1
O2 O 0.000 0.312 0.919 1
# Raw total energy, eV/atom: -6.07
# V, Å³/atom: 13.35
# Formation energy (no corrections), kJ per mole of atoms: -132.9